Record 1
TlSbSe2Br: optimized geometry, GGA-PBE.

Cell: 5.3579 5.3579 5.7542 Å, 90.00 90.00 90.00°
Space group P4/mmm (No. 123)
Inequivalent atoms, fractional coordinates:
Tl  0.0000  0.0000  0.0000
Sb  0.5000  0.5000  0.5000
Se  0.0000  0.5000  0.5000
Br  0.5000  0.5000  0.0000

## Properties
- Total moment: 0.0 μB/f.u.
- Formation energy (no corrections): -0.1869 eV per atom
- Relative energy among the computed polymorphs: 0 meV/atom


Record 2
Mg12Cd7Hg: optimized geometry, GGA-PBE.

Cell: 10.4850 10.4850 10.4850 Å, 90.00 90.00 90.00°
Space group Im-3 (No. 204)
Inequivalent atoms, fractional coordinates:
Mg  0.0000  0.2541  0.1507
Cd  0.0000  0.0000  0.5000
Cd  0.2500  0.2500  0.2500
Hg  0.0000  0.0000  0.0000

## Properties
- Total moment: 0.0 μB/f.u.
- Energy of formation from the pure elements: 0.16 eV/atom